{
  "formula": "TaHg2Se",
  "functional": "PBE",
  "state": "optimized geometry",
  "formation_energy_uncorrected_ev_per_atom": 0.469,
  "lattice": [[2.9785, 0.0000, 0.0000], [0.0000, 2.9785, 0.0000], [0.0000, 0.0000, 9.8209]],
  "species": ["Ta", "Se", "Hg", "Hg"],
  "frac_coords": [[0.5000, 0.5000, 0.7500], [0.5000, 0.5000, 0.2500], [0.0000, 0.0000, 0.9703], [0.0000, 0.0000, 0.5297]]
}


{
  "formula": "TaHgSe2",
  "functional": "PBE",
  "state": "optimized geometry",
  "formation_energy_uncorrected_ev_per_atom": -0.308,
  "lattice": [[7.4776, 0.0000, 0.0000], [0.0000, 4.9047, 0.0000], [0.0000, 0.0000, 10.9929]],
  "species": ["Se", "Se", "Se", "Se", "Se", "Se", "Se", "Se", "Ta", "Ta", "Ta", "Ta", "Hg", "Hg", "Hg", "Hg"],
  "frac_coords": [[0.0826, 0.7500, 0.2256], [0.1819, 0.7500, 0.5647], [0.8181, 0.2500, 0.4353], [0.6819, 0.7500, 0.9353], [0.4174, 0.2500, 0.7256], [0.5826, 0.7500, 0.2744], [0.3181, 0.2500, 0.0647], [0.9174, 0.2500, 0.7744], [0.4250, 0.7500, 0.0851], [0.5750, 0.2500, 0.9149], [0.9250, 0.7500, 0.4149], [0.0750, 0.2500, 0.5851], [0.8651, 0.2500, 0.1047], [0.1349, 0.7500, 0.8953], [0.6349, 0.7500, 0.6047], [0.3651, 0.2500, 0.3953]]
}